VASP calculation (PBE-GGA) on a relaxed structure of Gd2ErMg3Cd3.

abc: 4.732 12.771 7.444
angles: 90.00 90.00 90.00
Space group Amm2 (No. 38)
Inequivalent atoms, fractional coordinates:
Gd1 0.000 0.212 0.000 (multiplicity 4)
Er1 0.000 0.000 0.363 (multiplicity 2)
Mg1 0.500 0.000 0.026 (multiplicity 2)
Mg2 0.500 0.120 0.667 (multiplicity 4)
Cd1 0.000 0.000 0.783 (multiplicity 2)
Cd2 0.500 0.165 0.288 (multiplicity 4)

Calculated values
**Energy**: -46.915 eV for the cell shown



VASP calculation (PBE-GGA) on a relaxed structure of Gd2ErTl2Zn3Cd.

abc: 4.549 12.513 7.298
angles: 90.00 90.00 90.00
Space group Amm2 (No. 38)
Inequivalent atoms, fractional coordinates:
Gd1 0.000 0.214 0.000 (multiplicity 4)
Er1 0.000 0.000 0.358 (multiplicity 2)
Tl1 0.500 0.165 0.286 (multiplicity 4)
Zn1 0.500 0.000 0.014 (multiplicity 2)
Zn2 0.500 0.116 0.669 (multiplicity 4)
Cd1 0.000 0.000 0.780 (multiplicity 2)

Calculated values
**Energy**: -52.050 eV for the cell shown



VASP calculation (PBE-GGA) on a relaxed structure of Er2CdGe2.

abc: 7.251 7.251 4.174
angles: 90.00 90.00 90.00
Space group P4/mbm (No. 127)
Inequivalent atoms, fractional coordinates:
Er1 0.177 0.323 0.000 (multiplicity 4)
Cd1 0.000 0.000 0.500 (multiplicity 2)
Ge1 0.123 0.623 0.500 (multiplicity 4)

Calculated values
**Energy**: -45.565 eV for the cell shown



VASP calculation (PBE-GGA) on a relaxed structure of ErHfCd.

abc: 6.992 6.992 6.992
angles: 90.00 90.00 90.00
Space group F-43m (No. 216)
Inequivalent atoms, fractional coordinates:
Er1 0.000 0.000 0.000 (multiplicity 4)
Hf1 0.250 0.250 0.750 (multiplicity 4)
Cd1 0.000 0.000 0.500 (multiplicity 4)

Calculated values
**ΔE_f**: 2.31 eV/f.u.
**Offset from the most stable computed form**: 0 meV per atom



VASP calculation (PBE-GGA) on a relaxed structure of Er3CdHg2.

abc: 3.699 3.699 11.091
angles: 90.00 90.00 90.00
Space group P4/mmm (No. 123)
Inequivalent atoms, fractional coordinates:
Er1 0.000 0.000 0.000 (multiplicity 1)
Er2 0.000 0.000 0.331 (multiplicity 2)
Cd1 0.500 0.500 0.500 (multiplicity 1)
Hg1 0.500 0.500 0.169 (multiplicity 2)

Calculated values
**ΔE_f**: -2.59 eV/f.u.



VASP calculation (PBE-GGA) on a relaxed structure of Er3Mg3CdHg2.

abc: 7.7805 7.7805 4.1645
angles: 90.00 90.00 120.00
Space group P-62m (No. 189)
Inequivalent atoms, fractional coordinates:
Er1 0.0000 0.5842 0.0000 (multiplicity 3)
Mg1 0.0000 0.2516 0.5000 (multiplicity 3)
Cd1 0.0000 0.0000 0.0000 (multiplicity 1)
Hg1 0.3333 0.6667 0.5000 (multiplicity 2)

Calculated values
**Energy**: -22.916 eV for the cell shown



VASP calculation (PBE-GGA) on a relaxed structure of Nd2ErMg3CdHg2.

abc: 4.738 12.878 7.553
angles: 90.00 90.00 90.00
Space group Amm2 (No. 38)
Inequivalent atoms, fractional coordinates:
Nd1 0.000 0.211 0.000 (multiplicity 4)
Er1 0.000 0.000 0.361 (multiplicity 2)
Mg1 0.500 0.000 0.024 (multiplicity 2)
Mg2 0.500 0.121 0.664 (multiplicity 4)
Cd1 0.000 0.000 0.776 (multiplicity 2)
Hg1 0.500 0.162 0.289 (multiplicity 4)

Calculated values
**Energy**: -46.840 eV for the cell shown



VASP calculation (PBE-GGA) on a relaxed structure of HoErCd6.

abc: 5.039 5.039 7.130
angles: 90.00 90.00 90.00
Space group P4/mmm (No. 123)
Inequivalent atoms, fractional coordinates:
Ho1 0.000 0.000 0.000 (multiplicity 1)
Er1 0.500 0.500 0.500 (multiplicity 1)
Cd1 0.000 0.000 0.500 (multiplicity 1)
Cd2 0.000 0.500 0.250 (multiplicity 4)
Cd3 0.500 0.500 0.000 (multiplicity 1)

Calculated values
**ΔE_f**: -2.09 eV/f.u.
**Offset from the most stable computed form**: 17 meV per atom



VASP calculation (PBE-GGA) on a relaxed structure of HoErCd6.

abc: 4.825 7.149 10.676
angles: 90.00 90.00 90.00
Space group Amm2 (No. 38)
Inequivalent atoms, fractional coordinates:
Ho1 0.000 0.000 0.000 (multiplicity 2)
Er1 0.500 0.000 0.736 (multiplicity 2)
Cd1 0.000 0.000 0.545 (multiplicity 2)
Cd2 0.000 0.215 0.272 (multiplicity 4)
Cd3 0.500 0.000 0.191 (multiplicity 2)
Cd4 0.500 0.215 0.464 (multiplicity 4)

Calculated values
**ΔE_f**: -2.22 eV/f.u.
**Offset from the most stable computed form**: 0 meV per atom



VASP calculation (PBE-GGA) on a relaxed structure of HoErCd6.

abc: 5.047 7.106 5.048
angles: 90.00 90.00 90.00
Space group Pmm2 (No. 25)
Inequivalent atoms, fractional coordinates:
Ho1 0.000 0.000 0.000 (multiplicity 1)
Er1 0.500 0.500 0.491 (multiplicity 1)
Cd1 0.000 0.250 0.500 (multiplicity 2)
Cd2 0.000 0.500 0.000 (multiplicity 1)
Cd3 0.500 0.000 0.491 (multiplicity 1)
Cd4 0.500 0.250 0.990 (multiplicity 2)

Calculated values
**ΔE_f**: -2.09 eV/f.u.
**Offset from the most stable computed form**: 17 meV per atom



VASP calculation (PBE-GGA) on a relaxed structure of HoErCd.

abc: 7.181 7.181 7.181
angles: 90.00 90.00 90.00
Space group F-43m (No. 216)
Inequivalent atoms, fractional coordinates:
Ho1 0.000 0.000 0.000 (multiplicity 4)
Er1 0.250 0.250 0.750 (multiplicity 4)
Cd1 0.000 0.000 0.500 (multiplicity 4)

Calculated values
**ΔE_f**: 1.57 eV/f.u.
**Offset from the most stable computed form**: 0 meV per atom



VASP calculation (PBE-GGA) on a relaxed structure of HoEr2Cd3In3.

abc: 4.605 12.939 7.460
angles: 90.00 90.00 90.00
Space group Amm2 (No. 38)
Inequivalent atoms, fractional coordinates:
Ho1 0.000 0.000 0.000 (multiplicity 2)
Er1 0.000 0.217 0.652 (multiplicity 4)
Cd1 0.500 0.000 0.681 (multiplicity 2)
Cd2 0.500 0.123 0.312 (multiplicity 4)
In1 0.000 0.000 0.435 (multiplicity 2)
In2 0.500 0.167 0.935 (multiplicity 4)

Calculated values
**Energy**: -56.119 eV for the cell shown



Copy entry 12 word for word.
VASP calculation (PBE-GGA) on a relaxed structure of HoEr2Cd3In3.

abc: 4.605 12.939 7.460
angles: 90.00 90.00 90.00
Space group Amm2 (No. 38)
Inequivalent atoms, fractional coordinates:
Ho1 0.000 0.000 0.000 (multiplicity 2)
Er1 0.000 0.217 0.652 (multiplicity 4)
Cd1 0.500 0.000 0.681 (multiplicity 2)
Cd2 0.500 0.123 0.312 (multiplicity 4)
In1 0.000 0.000 0.435 (multiplicity 2)
In2 0.500 0.167 0.935 (multiplicity 4)

Calculated values
**Energy**: -56.119 eV for the cell shown



- Which formula does entry 1 have?
  Gd2ErMg3Cd3



- Which formula does entry 1 have?
  Gd2ErMg3Cd3